TbY2Rh | PBE | optimized geometry

a = 6.3172 Å, b = 6.3172 Å, c = 9.4932 Å
α = 90.00°, β = 90.00°, γ = 145.05°
Closest atoms and distances in Å follow each position.
Atoms (fractional coordinates):
Tb  0.0775  0.9225  0.7500  2 Rh 2.84
Tb  0.9225  0.0775  0.2500  2 Rh 2.84
Y  0.3614  0.6386  0.5679  2 Rh 2.88
Y  0.3614  0.6386  0.9321  2 Rh 2.88
Y  0.6386  0.3614  0.0679  2 Rh 2.88
Y  0.6386  0.3614  0.4321  2 Rh 2.88
Rh  0.2470  0.7530  0.2500  2 Tb 2.84, 4 Y 2.88
Rh  0.7530  0.2470  0.7500  2 Tb 2.84, 4 Y 2.88

Calculated values
Space group   No. 63
Energy relative to the elements   -0.4818 eV per atom
Excess energy over the best structure of this formula in the dataset   3.08 kJ per mole of atoms

***

La2PmAsO8 | PBE | optimized geometry

a = 5.4689 Å, b = 5.4689 Å, c = 6.3400 Å
α = 90.00°, β = 90.00°, γ = 120.00°
Closest atoms and distances in Å follow each position.
Atoms (fractional coordinates):
La  0.3333  0.6667  0.3631  1 O 2.09
La  0.6667  0.3333  0.6369  1 O 2.09
Pm  0.0000  0.0000  0.0000  6 O 2.55
As  0.0000  0.0000  0.5000  6 O 1.85
O  0.1570  0.3141  0.6736  1 As 1.85
O  0.1570  0.8430  0.6736  1 As 1.85
O  0.3141  0.1570  0.3264  1 As 1.85
O  0.3333  0.6667  0.0327  1 La 2.09
O  0.6667  0.3333  0.9673  1 La 2.09
O  0.6859  0.8430  0.6736  1 As 1.85
O  0.8430  0.1570  0.3264  1 As 1.85
O  0.8430  0.6859  0.3264  1 As 1.85

Calculated values
Space group   No. 164
Raw formation energy   -2210 meV per atom

***

RbGaGe | PBE | optimized geometry

a = 7.5822 Å, b = 7.5822 Å, c = 4.5261 Å
α = 90.00°, β = 90.00°, γ = 125.22°
Closest atoms and distances in Å follow each position.
Atoms (fractional coordinates):
Rb  0.1422  0.8578  0.7500  4 Ga 3.49-3.58
Rb  0.8578  0.1422  0.2500  4 Ga 3.49-3.58
Ga  0.3480  0.6520  0.2500  3 Ge 2.59-2.83
Ga  0.6520  0.3480  0.7500  3 Ge 2.59-2.83
Ge  0.4418  0.5582  0.7500  3 Ga 2.59-2.83, 2 Ge 2.75
Ge  0.5582  0.4418  0.2500  3 Ga 2.59-2.83, 2 Ge 2.75

Calculated values
Space group   No. 63
Energy relative to the elements   0.1107 eV per atom

***

Magnetic moment list, top to bottom, in μB per cell: 0.00, 2.04, 0.00
Ρ list, top to bottom, in g cm⁻³: 6.7, 6.3, 3.6